The following is a DFT calculation (PBE) of a geometry-optimized ZrPt2Br structure.

Properties
Formation energy (no corrections): -0.538 eV per atom
Crystal system: monoclinic
Calculated volume: 110 Å³ per cell
Uncorrected energy: -6.114 eV per atom
Polymorph energy (0 for the lowest one): 0.000 eV/atom

a = 4.8384 Å, b = 4.8384 Å, c = 6.7818 Å
α = 81.79°, β = 81.79°, γ = 44.33°
Last column: nearest neighbours and their distance in Å.
Positions (direct):
1 Br 0.0800 0.0800 0.2844  2 Zr 2.81, 1 Pt 2.96
2 Zr 0.5115 0.5115 0.6003  4 Pt 2.66-2.68, 2 Br 2.81
3 Pt 0.0958 0.0958 0.8454  2 Zr 2.66, 3 Pt 2.66, 1 Br 2.96
4 Pt 0.8127 0.8127 0.7699  3 Pt 2.66, 2 Zr 2.68